Entry 1:
Density functional theory data (PBE) for a geometry-optimized AcAlCuNi3 structure.

Cell: 5.5300 11.2786 6.6914 Å, 90.00 90.00 90.00°
With the nearest neighbours (Å) after each atom.
Space group Cmcm (No. 63)
Inequivalent atoms, fractional coordinates:
1 Ac 0.0000 0.1879 0.2500 (multiplicity 4)  6 Ni 2.79-2.99, 1 Cu 2.80
2 Al 0.0000 0.1191 0.7500 (multiplicity 4)  5 Ni 2.50-2.56
3 Cu 0.0000 0.4364 0.2500 (multiplicity 4)  5 Ni 2.35-2.45
4 Ni 0.0000 0.3460 0.7500 (multiplicity 4)  1 Cu 2.45, 1 Al 2.56
5 Ni 0.2318 0.0000 0.0000 (multiplicity 8)  2 Cu 2.35, 2 Al 2.50, 1 Ni 2.56

## Properties
**ΔE_f**: -0.106 eV/atom

=====

Entry 2:
Density functional theory data (PBE) for a geometry-optimized TbMgZn2Ag5 structure.

Cell: 4.8284 4.8284 7.7910 Å, 90.00 90.00 90.00°
With the nearest neighbours (Å) after each atom.
Space group P4/mmm (No. 123)
Inequivalent atoms, fractional coordinates:
1 Tb 0.0000 0.0000 0.0000 (multiplicity 1)  12 Ag 3.06-3.41
2 Mg 0.0000 0.0000 0.5000 (multiplicity 1)  8 Ag 3.15
3 Zn 0.5000 0.5000 0.3472 (multiplicity 2)  1 Zn 2.38, 4 Ag 2.55
4 Ag 0.0000 0.5000 0.2412 (multiplicity 4)  2 Zn 2.55
5 Ag 0.5000 0.5000 0.0000 (multiplicity 1)  2 Zn 2.70

## Properties
**ΔE_f**: -0.034 eV/atom

=====

Entry 3:
Density functional theory data (PBE) for a geometry-optimized TaBe3Rh structure.

Cell: 4.0219 4.0219 4.0219 Å, 90.00 90.00 90.00°
With the nearest neighbours (Å) after each atom.
Space group Pm-3m (No. 221)
Inequivalent atoms, fractional coordinates:
1 Ta 0.0000 0.0000 0.0000 (multiplicity 1)  12 Be 2.84
2 Be 0.0000 0.5000 0.5000 (multiplicity 3)  2 Rh 2.01
3 Rh 0.5000 0.5000 0.5000 (multiplicity 1)  6 Be 2.01

## Properties
**Excess energy over the best structure of this formula in the dataset**: 0 meV/atom
**ΔE_f**: 0.354 eV/atom

=====

Entry 4:
Density functional theory data (PBE) for a geometry-optimized AcPm3Dy7 structure.

Cell: 11.7085 9.9925 6.5533 Å, 90.00 94.99 90.00°
With the nearest neighbours (Å) after each atom.
Space group C2/m (No. 12)
Inequivalent atoms, fractional coordinates:
1 Ac 0.0000 0.0000 0.0000 (multiplicity 2)  4 Dy 3.28-3.53
2 Pm 0.0000 0.3249 0.5000 (multiplicity 4)  7 Dy 3.25-3.57, 1 Pm 3.50
3 Pm 0.0000 0.5000 0.0000 (multiplicity 2)  6 Dy 3.52-3.66, 4 Pm 3.71
4 Dy 0.0000 0.0000 0.5000 (multiplicity 2)  2 Pm 3.25, 2 Ac 3.28, 2 Dy 3.47
5 Dy 0.2346 0.5000 0.6993 (multiplicity 4)  5 Dy 3.30-3.49, 3 Pm 3.42-3.52, 1 Ac 3.53
6 Dy 0.2479 0.1727 0.7593 (multiplicity 8)  5 Dy 3.30-3.67, 3 Pm 3.53-3.66

## Properties
**Excess energy over the best structure of this formula in the dataset**: 19 meV/atom
**ΔE_f**: 0.220 eV/atom

=====

Entry 5:
Density functional theory data (PBE) for a geometry-optimized Li2NdPd2 structure.

Cell: 3.8942 3.8942 12.7224 Å, 90.00 90.00 90.00°
With the nearest neighbours (Å) after each atom.
Space group I4/mmm (No. 139)
Inequivalent atoms, fractional coordinates:
1 Li 0.0000 0.5000 0.2500 (multiplicity 4)  4 Pd 2.66, 4 Li 2.75
2 Nd 0.0000 0.0000 0.0000 (multiplicity 2)  8 Pd 3.08
3 Pd 0.0000 0.0000 0.3920 (multiplicity 4)  4 Li 2.66, 1 Pd 2.75

## Properties
**ΔE_f**: -0.535 eV/atom

=====

Entry 6:
Density functional theory data (PBE) for a geometry-optimized Dy3TmRh structure.

Cell: 5.3896 5.3896 5.3896 Å, 90.00 90.00 90.00°
With the nearest neighbours (Å) after each atom.
Space group Pm-3m (No. 221)
Inequivalent atoms, fractional coordinates:
1 Dy 0.0000 0.0000 0.5000 (multiplicity 3)  2 Rh 2.69
2 Tm 0.5000 0.5000 0.5000 (multiplicity 1)  12 Dy 3.81
3 Rh 0.0000 0.0000 0.0000 (multiplicity 1)  6 Dy 2.69

## Properties
**Excess energy over the best structure of this formula in the dataset**: 207 meV/atom
**ΔE_f**: -0.195 eV/atom

=====

Entry 7:
Density functional theory data (PBE) for a geometry-optimized Ce2GaBPt6 structure.

Cell: 5.7170 5.7170 38.6851 Å, 90.00 90.00 120.00°
With the nearest neighbours (Å) after each atom.
Space group R-3m (No. 166, hexagonal axes)
Inequivalent atoms, fractional coordinates:
1 Ce 0.0000 0.0000 0.1071 (multiplicity 6)  9 Pt 3.05-3.33, 3 Ga 3.40
2 Ce 0.0000 0.0000 0.2766 (multiplicity 6)  6 Pt 3.00
3 Ga 0.0000 0.0000 0.4190 (multiplicity 6)  6 Pt 2.57-2.60
4 B 0.0000 0.0000 0.0000 (multiplicity 3)  6 Pt 2.12
5 B 0.0000 0.0000 0.5000 (multiplicity 3)  6 Pt 2.14
6 Pt 0.0084 0.5042 0.3005 (multiplicity 18)  1 B 2.12
7 Pt 0.0182 0.5091 0.8657 (multiplicity 18)  1 B 2.14

## Properties
**ΔE_f**: -0.869 eV/atom

=====

Entry 8:
Density functional theory data (PBE) for a geometry-optimized Li2TcOs structure.

Cell: 5.8077 5.8077 5.8077 Å, 90.00 90.00 90.00°
With the nearest neighbours (Å) after each atom.
Space group Fm-3m (No. 225)
Inequivalent atoms, fractional coordinates:
1 Li 0.2500 0.2500 0.2500 (multiplicity 8)  4 Tc 2.51, 4 Os 2.51
2 Tc 0.0000 0.0000 0.0000 (multiplicity 4)  8 Li 2.51
3 Os 0.0000 0.0000 0.5000 (multiplicity 4)  8 Li 2.51

## Properties
**Excess energy over the best structure of this formula in the dataset**: 657 meV/atom
**ΔE_f**: 0.766 eV/atom

=====

Entry 9:
Density functional theory data (PBE) for a geometry-optimized NbPtCl3 structure.

Cell: 4.8477 4.8477 4.8477 Å, 90.00 90.00 90.00°
With the nearest neighbours (Å) after each atom.
Space group Pm-3m (No. 221)
Inequivalent atoms, fractional coordinates:
1 Nb 0.0000 0.0000 0.0000 (multiplicity 1)  6 Cl 2.42
2 Pt 0.5000 0.5000 0.5000 (multiplicity 1)  12 Cl 3.43
3 Cl 0.0000 0.0000 0.5000 (multiplicity 3)  2 Nb 2.42

## Properties
**Formation energy from raw total energies**: 1.0 eV/f.u.
**Excess energy over the best structure of this formula in the dataset**: 0 meV/atom

=====

Entry 10:
Density functional theory data (PBE) for a geometry-optimized ZnAg4I6 structure.

Cell: 14.2437 8.3167 14.1973 Å, 90.00 108.59 90.00°
With the nearest neighbours (Å) after each atom.
Space group Cc (No. 9)
Inequivalent atoms, fractional coordinates:
1 Zn 0.0000 0.2369 0.0000 (multiplicity 4)  4 I 2.59-2.61
2 Ag 0.0810 0.0645 0.7587 (multiplicity 4)  4 I 2.88-2.93
3 Ag 0.2346 0.3959 0.2577 (multiplicity 4)  4 I 2.91-2.95
4 Ag 0.2415 0.1011 0.5624 (multiplicity 4)  4 I 2.89-2.95
5 Ag 0.4340 0.2238 0.9113 (multiplicity 4)  4 I 2.90-2.97
6 I 0.1231 0.2291 0.3721 (multiplicity 4)  4 Ag 2.88-2.95
7 I 0.1923 0.2434 0.0633 (multiplicity 4)  1 Zn 2.60
8 I 0.2492 0.2562 0.7492 (multiplicity 4)  4 Ag 2.90-2.92
9 I 0.4313 0.2455 0.3075 (multiplicity 4)  1 Zn 2.60
10 I 0.4370 0.4765 0.0597 (multiplicity 4)  1 Zn 2.59
11 I 0.4390 0.0057 0.5680 (multiplicity 4)  1 Zn 2.61, 2 Ag 2.90-2.91

## Properties
**Formation energy from raw total energies**: -3.4 eV/f.u.

=====

Entry 11:
Density functional theory data (PBE) for a geometry-optimized KMnS2I structure.

Cell: 5.5874 5.5874 4.9411 Å, 90.00 90.00 90.00°
With the nearest neighbours (Å) after each atom.
Space group P4/mmm (No. 123)
Inequivalent atoms, fractional coordinates:
1 K 0.0000 0.0000 0.0000 (multiplicity 1)  8 S 3.73, 4 Mn 3.95
2 Mn 0.5000 0.5000 0.0000 (multiplicity 1)  2 I 2.47
3 S 0.0000 0.5000 0.5000 (multiplicity 2)  2 I 2.79
4 I 0.5000 0.5000 0.5000 (multiplicity 1)  2 Mn 2.47

## Properties
**Formation energy from raw total energies**: 2.0 eV/f.u.

=====

Entry 12:
Density functional theory data (PBE) for a geometry-optimized Li2Te2Rh structure.

Cell: 3.6368 3.6368 15.0132 Å, 90.00 90.00 90.00°
With the nearest neighbours (Å) after each atom.
Space group I4/mmm (No. 139)
Inequivalent atoms, fractional coordinates:
1 Li 0.0000 0.5000 0.2500 (multiplicity 4)  4 Li 2.57, 4 Te 2.83
2 Te 0.0000 0.0000 0.1059 (multiplicity 4)  4 Li 2.83, 4 Rh 3.02
3 Rh 0.0000 0.0000 0.5000 (multiplicity 2)  8 Te 3.02

## Properties
**Formation energy from raw total energies**: -0.5 eV/f.u.
**Excess energy over the best structure of this formula in the dataset**: 359 meV/atom